Here is a relaxed RbGeAs crystal from Alexandria via LeMat-Bulk. Energies are from PBE.

```
data_RbGeAs
_chemical_formula_sum 'Rb2 Ge2 As2'
_cell_length_a 5.5235
_cell_length_b 6.8135
_cell_length_c 6.9458
_cell_angle_alpha 88.47
_cell_angle_beta 90.01
_cell_angle_gamma 65.95
_symmetry_space_group_name_H-M 'P 1'
_symmetry_Int_Tables_number 1
_symmetry_space_group_name_Hall 'P 1'
loop_
_atom_site_label
_atom_site_fract_x
_atom_site_fract_y
_atom_site_fract_z
Rb1 0.0903 0.3594 0.7482
Rb2 0.3554 0.8321 0.2921
Ge1 0.6327 0.2748 0.0944
Ge2 0.8122 0.9168 0.9460
As1 0.8112 0.9205 0.6045
As2 0.6347 0.2712 0.4359
```

Properties
Raw total energy, eV per atom: -3.52
Crystal system: triclinic
DFT formation energy, eV per atom: -0.1093

---

Here is a relaxed RbGe3As3 crystal from Alexandria via LeMat-Bulk. Energies are from PBE.

```
data_RbGe3As3
_chemical_formula_sum 'Rb2 Ge6 As6'
_cell_length_a 7.4219
_cell_length_b 7.4219
_cell_length_c 7.4219
_cell_angle_alpha 90.00
_cell_angle_beta 90.00
_cell_angle_gamma 90.00
_symmetry_space_group_name_H-M 'P 1'
_symmetry_Int_Tables_number 1
_symmetry_space_group_name_Hall 'P 1'
loop_
_atom_site_label
_atom_site_fract_x
_atom_site_fract_y
_atom_site_fract_z
As1 0.0000 0.2500 0.5000
As2 0.0000 0.7500 0.5000
As3 0.5000 0.0000 0.7500
As4 0.7500 0.5000 0.0000
As5 0.5000 0.0000 0.2500
As6 0.2500 0.5000 0.0000
Ge1 0.2500 0.0000 0.5000
Ge2 0.0000 0.5000 0.2500
Ge3 0.5000 0.7500 0.0000
Ge4 0.7500 0.0000 0.5000
Ge5 0.0000 0.5000 0.7500
Ge6 0.5000 0.2500 0.0000
Rb1 0.5000 0.5000 0.5000
Rb2 0.0000 0.0000 0.0000
```

Properties
E above lowest polymorph, meV per atom: 202
Raw total energy, eV per atom: -4.12
Crystal system: cubic
DFT formation energy, eV per atom: -0.0124

---

Here is a relaxed Rb3GeAs2 crystal from Alexandria via LeMat-Bulk. Energies are from PBE.

```
data_Rb3GeAs2
_chemical_formula_sum 'Rb6 Ge2 As4'
_cell_length_a 7.9695
_cell_length_b 9.9719
_cell_length_c 10.0640
_cell_angle_alpha 119.70
_cell_angle_beta 113.32
_cell_angle_gamma 90.00
_symmetry_space_group_name_H-M 'P 1'
_symmetry_Int_Tables_number 1
_symmetry_space_group_name_Hall 'P 1'
loop_
_atom_site_label
_atom_site_fract_x
_atom_site_fract_y
_atom_site_fract_z
Rb1 0.5000 0.2500 0.0000
Rb2 0.5000 0.7500 0.0000
Rb3 0.8050 0.0550 0.6099
Rb4 0.1950 0.4450 0.3901
Rb5 0.1950 0.9450 0.3901
Rb6 0.8050 0.5550 0.6099
Ge1 0.0000 0.5000 0.0000
Ge2 0.0000 0.0000 0.0000
As1 0.6830 0.4072 0.8144
As2 0.8686 0.0928 0.1856
As3 0.1314 0.9072 0.8144
As4 0.3170 0.5928 0.1856
```

Properties
E above lowest polymorph, meV per atom: 146
Raw total energy, eV per atom: -2.95
Crystal system: orthorhombic
DFT formation energy, eV per atom: -0.1427

---

Here is a relaxed RbGe6As8 crystal from Alexandria via LeMat-Bulk. Energies are from PBE.

```
data_RbGe6As8
_chemical_formula_sum 'Rb1 Ge6 As8'
_cell_length_a 7.7273
_cell_length_b 7.7273
_cell_length_c 7.7273
_cell_angle_alpha 78.12
_cell_angle_beta 78.12
_cell_angle_gamma 78.12
_symmetry_space_group_name_H-M 'P 1'
_symmetry_Int_Tables_number 1
_symmetry_space_group_name_Hall 'P 1'
loop_
_atom_site_label
_atom_site_fract_x
_atom_site_fract_y
_atom_site_fract_z
Rb1 0.0000 0.0000 0.0000
Ge1 0.6596 0.4681 0.8502
Ge2 0.4681 0.8502 0.6596
Ge3 0.8502 0.6596 0.4681
Ge4 0.3404 0.5319 0.1498
Ge5 0.5319 0.1498 0.3404
Ge6 0.1498 0.3404 0.5319
As1 0.7657 0.7657 0.7657
As2 0.2343 0.2343 0.2343
As3 0.5745 0.8127 0.3318
As4 0.8127 0.3318 0.5745
As5 0.3318 0.5745 0.8127
As6 0.4255 0.1873 0.6682
As7 0.1873 0.6682 0.4255
As8 0.6682 0.4255 0.1873
```

Properties
Raw total energy, eV per atom: -4.34
Crystal system: trigonal
DFT formation energy, eV per atom: 0.0554

---

Here is a relaxed Rb3GeAs2 crystal from Alexandria via LeMat-Bulk. Energies are from PBE.

```
data_Rb3GeAs2
_chemical_formula_sum 'Rb6 Ge2 As4'
_cell_length_a 8.5583
_cell_length_b 6.9771
_cell_length_c 9.3581
_cell_angle_alpha 111.89
_cell_angle_beta 117.21
_cell_angle_gamma 90.00
_symmetry_space_group_name_H-M 'P 1'
_symmetry_Int_Tables_number 1
_symmetry_space_group_name_Hall 'P 1'
loop_
_atom_site_label
_atom_site_fract_x
_atom_site_fract_y
_atom_site_fract_z
Rb1 0.3683 0.6833 0.3665
Rb2 0.6317 0.3167 0.6335
Rb3 0.0017 0.8167 0.6335
Rb4 0.9983 0.1833 0.3665
Rb5 0.5000 0.7500 0.0000
Rb6 0.5000 0.2500 0.0000
Ge1 0.0000 0.2500 0.0000
Ge2 0.0000 0.7500 0.0000
As1 0.2618 0.0862 0.1724
As2 0.7382 0.9138 0.8276
As3 0.0894 0.4138 0.8276
As4 0.9106 0.5862 0.1724
```

Properties
E above lowest polymorph, meV per atom: 0
Raw total energy, eV per atom: -3.09
Crystal system: orthorhombic
DFT formation energy, eV per atom: -0.2885

---

Here is a relaxed RbGe3As3 crystal from Alexandria via LeMat-Bulk. Energies are from PBE.

```
data_RbGe3As3
_chemical_formula_sum 'Rb2 Ge6 As6'
_cell_length_a 7.9208
_cell_length_b 7.9208
_cell_length_c 9.2177
_cell_angle_alpha 64.55
_cell_angle_beta 64.55
_cell_angle_gamma 60.00
_symmetry_space_group_name_H-M 'P 1'
_symmetry_Int_Tables_number 1
_symmetry_space_group_name_Hall 'P 1'
loop_
_atom_site_label
_atom_site_fract_x
_atom_site_fract_y
_atom_site_fract_z
Rb1 0.3330 0.3330 0.0010
Rb2 0.6670 0.6670 0.9990
Ge1 0.4563 0.7930 0.6236
Ge2 0.7930 0.1271 0.6236
Ge3 0.1271 0.4563 0.6236
Ge4 0.8729 0.5437 0.3764
Ge5 0.2070 0.8729 0.3764
Ge6 0.5437 0.2070 0.3764
As1 0.2304 0.5663 0.3057
As2 0.8976 0.2304 0.3057
As3 0.5663 0.8976 0.3057
As4 0.4337 0.1024 0.6943
As5 0.1024 0.7696 0.6943
As6 0.7696 0.4337 0.6943
```

Properties
E above lowest polymorph, meV per atom: 149
Raw total energy, eV per atom: -4.18
Crystal system: trigonal
DFT formation energy, eV per atom: -0.0655

---

Here is a relaxed RbGeAs crystal from Alexandria via LeMat-Bulk. Energies are from PBE.

```
data_RbGeAs
_chemical_formula_sum 'Rb3 Ge3 As3'
_cell_length_a 3.9876
_cell_length_b 3.9876
_cell_length_c 19.6613
_cell_angle_alpha 90.00
_cell_angle_beta 90.00
_cell_angle_gamma 120.00
_symmetry_space_group_name_H-M 'P 1'
_symmetry_Int_Tables_number 1
_symmetry_space_group_name_Hall 'P 1'
loop_
_atom_site_label
_atom_site_fract_x
_atom_site_fract_y
_atom_site_fract_z
Rb1 0.0000 0.0000 0.3937
Rb2 0.3333 0.6667 0.0604
Rb3 0.6667 0.3333 0.7271
Ge1 0.0000 0.0000 0.9193
Ge2 0.3333 0.6667 0.5860
Ge3 0.6667 0.3333 0.2527
As1 0.0000 0.0000 0.1916
As2 0.3333 0.6667 0.8583
As3 0.6667 0.3333 0.5250
```

Properties
Raw total energy, eV per atom: -3.70
Crystal system: trigonal
DFT formation energy, eV per atom: -0.2840

---

Here is a relaxed RbGe2As2 crystal from Alexandria via LeMat-Bulk. Energies are from PBE.

```
data_RbGe2As2
_chemical_formula_sum 'Rb1 Ge2 As2'
_cell_length_a 4.7292
_cell_length_b 4.7292
_cell_length_c 7.2610
_cell_angle_alpha 70.99
_cell_angle_beta 70.99
_cell_angle_gamma 90.00
_symmetry_space_group_name_H-M 'P 1'
_symmetry_Int_Tables_number 1
_symmetry_space_group_name_Hall 'P 1'
loop_
_atom_site_label
_atom_site_fract_x
_atom_site_fract_y
_atom_site_fract_z
As1 0.3428 0.3428 0.3145
As2 0.6572 0.6572 0.6855
Ge1 0.7500 0.2500 0.5000
Ge2 0.2500 0.7500 0.5000
Rb1 0.0000 0.0000 0.0000
```

Properties
Raw total energy, eV per atom: -4.04
Crystal system: tetragonal
DFT formation energy, eV per atom: -0.1415

---

Here is a relaxed Rb3GeAs crystal from Alexandria via LeMat-Bulk. Energies are from PBE.

```
data_Rb3GeAs
_chemical_formula_sum 'Rb6 Ge2 As2'
_cell_length_a 4.0670
_cell_length_b 9.9986
_cell_length_c 10.7917
_cell_angle_alpha 98.00
_cell_angle_beta 90.08
_cell_angle_gamma 101.77
_symmetry_space_group_name_H-M 'P 1'
_symmetry_Int_Tables_number 1
_symmetry_space_group_name_Hall 'P 1'
loop_
_atom_site_label
_atom_site_fract_x
_atom_site_fract_y
_atom_site_fract_z
Rb1 0.0719 0.1765 0.3634
Rb2 0.4237 0.8801 0.6149
Rb3 0.6208 0.2747 0.8062
Rb4 0.9712 0.9763 0.0573
Rb5 0.2705 0.5741 0.0467
Rb6 0.7728 0.5791 0.3754
Ge1 0.2382 0.5096 0.6763
Ge2 0.8075 0.6470 0.7463
As1 0.4133 0.8595 0.2993
As2 0.6298 0.2935 0.1219
```

Properties
E above lowest polymorph, meV per atom: 0
Raw total energy, eV per atom: -2.51
Crystal system: triclinic
DFT formation energy, eV per atom: -0.0800

---

Here is a relaxed RbGeAs crystal from Alexandria via LeMat-Bulk. Energies are from PBE.

```
data_RbGeAs
_chemical_formula_sum 'Rb2 Ge2 As2'
_cell_length_a 3.2574
_cell_length_b 3.9484
_cell_length_c 13.0287
_cell_angle_alpha 90.00
_cell_angle_beta 90.00
_cell_angle_gamma 90.00
_symmetry_space_group_name_H-M 'P 1'
_symmetry_Int_Tables_number 1
_symmetry_space_group_name_Hall 'P 1'
loop_
_atom_site_label
_atom_site_fract_x
_atom_site_fract_y
_atom_site_fract_z
Rb1 0.0000 0.0000 0.0785
Rb2 0.0000 0.5000 0.5785
Ge1 0.5000 0.0000 0.3840
Ge2 0.5000 0.5000 0.8840
As1 0.5000 0.0000 0.7630
As2 0.5000 0.5000 0.2630
```

Properties
Raw total energy, eV per atom: -3.53
Crystal system: orthorhombic
DFT formation energy, eV per atom: -0.1147